Entry 1:
Entry from the Alexandria database: crystalline Sm2CuSi3Pt12 at its relaxed geometry (PBE-GGA).

Properties
M_tot: 0.000 μB per cell
DFT total energy: -0.2262 hartree per atom

Cell and atoms, written as CIF:
```
data_Sm2CuSi3Pt12
_cell_length_a 7.638
_cell_length_b 7.638
_cell_length_c 7.638
_cell_angle_alpha 65.27
_cell_angle_beta 65.27
_cell_angle_gamma 65.27
_symmetry_space_group_name_H-M 'P 1'
_symmetry_Int_Tables_number 1
loop_
_symmetry_equiv_pos_as_xyz
'x,y,z'
loop_
_atom_site_label
_atom_site_type_symbol
_atom_site_fract_x
_atom_site_fract_y
_atom_site_fract_z
Sm1 Sm 0.117 0.117 0.117
Sm2 Sm 0.883 0.883 0.883
Cu1 Cu 0.500 0.500 0.500
Si1 Si 0.000 0.500 0.500
Si2 Si 0.500 0.000 0.500
Si3 Si 0.500 0.500 0.000
Pt1 Pt 0.129 0.628 0.628
Pt2 Pt 0.143 0.143 0.605
Pt3 Pt 0.143 0.605 0.143
Pt4 Pt 0.372 0.372 0.871
Pt5 Pt 0.372 0.871 0.372
Pt6 Pt 0.395 0.857 0.857
Pt7 Pt 0.605 0.143 0.143
Pt8 Pt 0.628 0.129 0.628
Pt9 Pt 0.628 0.628 0.129
Pt10 Pt 0.857 0.395 0.857
Pt11 Pt 0.857 0.857 0.395
Pt12 Pt 0.871 0.372 0.372
```

Entry 2:
Entry from the Alexandria database: crystalline PmNpTeSe2 at its relaxed geometry (PBE-GGA).

Properties
M_tot: 4.000 μB per cell
DFT total energy: -0.2415 hartree per atom

Cell and atoms, written as CIF:
```
data_PmNpTeSe2
_cell_length_a 7.733
_cell_length_b 7.733
_cell_length_c 7.733
_cell_angle_alpha 145.45
_cell_angle_beta 145.45
_cell_angle_gamma 49.66
_symmetry_space_group_name_H-M 'P 1'
_symmetry_Int_Tables_number 1
loop_
_symmetry_equiv_pos_as_xyz
'x,y,z'
loop_
_atom_site_label
_atom_site_type_symbol
_atom_site_fract_x
_atom_site_fract_y
_atom_site_fract_z
Pm1 Pm 0.000 0.000 0.000
Np1 Np 0.259 0.259 0.000
Te1 Te 0.631 0.631 0.000
Se1 Se 0.377 0.877 0.500
Se2 Se 0.877 0.377 0.500
```

Entry 3:
Entry from the Alexandria database: crystalline LaY3Tm3 at its relaxed geometry (PBE-GGA).

Properties
E_form: 0.2031 eV per atom
E above lowest polymorph: 0.185 eV per atom
M_tot: 0.000 μB per cell
DFT total energy: -0.1906 hartree per atom

Cell and atoms, written as CIF:
```
data_LaY3Tm3
_cell_length_a 8.820
_cell_length_b 8.820
_cell_length_c 8.820
_cell_angle_alpha 58.66
_cell_angle_beta 58.66
_cell_angle_gamma 58.66
_symmetry_space_group_name_H-M 'P 1'
_symmetry_Int_Tables_number 1
loop_
_symmetry_equiv_pos_as_xyz
'x,y,z'
loop_
_atom_site_label
_atom_site_type_symbol
_atom_site_fract_x
_atom_site_fract_y
_atom_site_fract_z
La1 La 0.150 0.150 0.150
La2 La 0.850 0.850 0.850
Y1 Y 0.070 0.564 0.229
Y2 Y 0.229 0.070 0.564
Y3 Y 0.436 0.771 0.930
Y4 Y 0.564 0.229 0.070
Y5 Y 0.771 0.930 0.436
Y6 Y 0.930 0.436 0.771
Tm1 Tm 0.218 0.671 0.434
Tm2 Tm 0.329 0.566 0.782
Tm3 Tm 0.434 0.218 0.671
Tm4 Tm 0.566 0.782 0.329
Tm5 Tm 0.671 0.434 0.218
Tm6 Tm 0.782 0.329 0.566
```

- Which value of DFT total energy does entry 3 give?
  -0.1906 hartree per atom

- Among the records above, which one has the highest DFT total energy?
  LaY3Tm3

- Number 1 is which compound?
  Sm2CuSi3Pt12

- Which of these has the highest M_tot?
  PmNpTeSe2